CaThRuAu: optimized geometry, PBE.

Values from the calculation:
energy of formation: -0.369 eV per atom

a b c (Å): 7.147 7.147 7.147
angles (deg): 90.00 90.00 90.00
Space group F-43m (No. 216)
One atom of each set of equivalent atoms:
Ca 0.000 0.000 0.000
Th 0.000 0.000 0.500
Ru 0.250 0.250 0.250
Au 0.250 0.250 0.750